First-principles (meta-GGA SCAN) data for a PBEsol-optimized structure of NaIn2Au2, as listed in Alexandria.

Geometry as extended XYZ:
```
10
Lattice="7.878 0.000 0.000 0.000 7.878 0.000 0.000 0.000 3.411" Properties=species:S:1:pos:R:3 pbc="T T T"
Na 0.000 0.000 0.000
Na 3.939 3.939 0.000
In 1.288 2.651 1.706
In 2.651 6.590 1.706
In 5.227 1.288 1.706
In 6.590 5.227 1.706
Au 1.061 5.000 0.000
Au 2.879 1.061 0.000
Au 5.000 6.818 0.000
Au 6.818 2.879 0.000
```

Computed properties:
- symmetry = P4/mbm (127)
- energy above the lowest structure with this stoichiometry (meV/atom) = 30
- formation enthalpy at 0 K (eV/atom) = -0.3076

First-principles (meta-GGA SCAN) data for a PBEsol-optimized structure of NbIn2AuSe, as listed in Alexandria.

Geometry as extended XYZ:
```
5
Lattice="5.426 0.000 0.000 0.000 5.426 0.000 0.000 0.000 4.922" Properties=species:S:1:pos:R:3 pbc="T T T"
Nb 0.000 0.000 0.000
In 0.000 2.713 0.000
In 2.713 0.000 0.000
Au 0.000 0.000 2.461
Se 2.713 2.713 2.461
```

Computed properties:
- symmetry = P4/mmm (123)
- E_form (uncorrected) (eV/atom) = 0.7783

First-principles (meta-GGA SCAN) data for a PBEsol-optimized structure of NdInAu2, as listed in Alexandria.

Geometry as extended XYZ:
```
4
Lattice="0.000 3.500 3.500 3.500 0.000 3.500 3.500 3.500 0.000" Properties=species:S:1:pos:R:3 pbc="T T T"
Nd 0.000 0.000 0.000
In 3.500 3.500 3.500
Au 1.750 1.750 1.750
Au 5.251 5.251 5.251
```

Computed properties:
- symmetry = Fm-3m (225)
- formation enthalpy at 0 K (eV/atom) = -0.8326

First-principles (meta-GGA SCAN) data for a PBEsol-optimized structure of NdIn4Au2, as listed in Alexandria.

Geometry as extended XYZ:
```
28
Lattice="18.383 0.000 0.000 0.000 4.603 0.000 0.000 0.000 7.385" Properties=species:S:1:pos:R:3 pbc="T T T"
Nd 2.613 1.151 0.189
Nd 6.578 3.452 3.881
Nd 11.805 1.151 3.504
Nd 15.770 3.452 7.196
In 0.645 3.452 6.358
In 1.221 1.151 3.564
In 3.397 3.452 2.399
In 3.454 3.452 5.439
In 5.738 1.151 1.746
In 5.794 1.151 6.092
In 7.970 3.452 7.256
In 8.546 1.151 2.666
In 9.837 3.452 4.719
In 10.413 1.151 0.129
In 12.589 3.452 1.293
In 12.645 3.452 5.639
In 14.929 1.151 1.946
In 14.986 1.151 4.986
In 17.162 3.452 3.821
In 17.738 1.151 1.027
Au 0.696 3.452 1.811
Au 3.998 1.151 3.944
Au 5.193 3.452 0.251
Au 8.495 1.151 5.503
Au 9.888 3.452 1.882
Au 13.190 1.151 7.134
Au 14.385 3.452 3.441
Au 17.687 1.151 5.574
```

Computed properties:
- symmetry = Pnma (62)
- formation enthalpy at 0 K (eV/atom) = -0.5742

First-principles (meta-GGA SCAN) data for a PBEsol-optimized structure of Nd2InAu2, as listed in Alexandria.

Geometry as extended XYZ:
```
10
Lattice="7.957 0.000 0.000 0.000 7.957 0.000 0.000 0.000 3.854" Properties=species:S:1:pos:R:3 pbc="T T T"
Nd 1.375 2.603 0.000
Nd 2.603 6.582 0.000
Nd 5.354 1.375 0.000
Nd 6.582 5.354 0.000
In 0.000 0.000 1.927
In 3.978 3.978 1.927
Au 1.011 4.990 1.927
Au 2.967 1.011 1.927
Au 4.990 6.946 1.927
Au 6.946 2.967 1.927
```

Computed properties:
- symmetry = P4/mbm (127)
- formation enthalpy at 0 K (eV/atom) = -0.9985

First-principles (meta-GGA SCAN) data for a PBEsol-optimized structure of InNi2Au, as listed in Alexandria.

Geometry as extended XYZ:
```
4
Lattice="-2.037 2.037 3.407 2.037 -2.037 3.407 2.037 2.037 -3.407" Properties=species:S:1:pos:R:3 pbc="T T T"
In 0.000 0.000 0.000
Ni 2.037 0.000 1.703
Ni 0.000 2.037 1.703
Au 0.000 0.000 3.407
```

Computed properties:
- symmetry = I4/mmm (139)
- formation enthalpy at 0 K (eV/atom) = -0.0654

Taking the records one at a time from the top gives magnetization values of 0.00; 1.67; 0.00; 0.00; 0.00; 0.00 Bohr magnetons per cell.